This record from the Alexandria database describes crystalline TbNdH2 at its relaxed geometry. The functional is PBE.

## Properties
E_tot	-17.64	eV/cell
V	64	Å³/cell
total magnetic moment	0.0	μB per formula unit

a b c (Å): 3.567 3.567 6.158
angles (deg): 73.16 73.16 60.00
Atoms (fractional coordinates):
H: 0.745 0.745 0.766
H: 0.255 0.255 0.234
Tb: 0.000 0.000 0.000
Nd: 0.500 0.500 0.500